# 1
Y2BeAs: optimized geometry, PBE.

As for the energy relative to the lowest polymorph listed for this composition: 0 meV/atom. The calculation puts the total energy at -6.068 eV/atom.

The space group is Amm2 (No. 38) and the conventional cell measures 3.825, 4.208 and 10.579 Å, with angles of 90.00, 90.00 and 90.00 degrees. The distinct sites, in fractional coordinates, are Y at (0.000, 0.000, 0.000), Y at (0.500, 0.000, 0.287), Be at (0.000, 0.000, 0.714) and As at (0.500, 0.000, 0.578).

=====

# 2
YBeAs2: optimized geometry, PBE.

The calculation puts the total energy at -5.250 eV/atom.

The space group is R-3m (No. 166, hexagonal axes) and the conventional cell measures 4.2763, 4.2763 and 14.3379 Å, with angles of 90.00, 90.00 and 120.00 degrees. The distinct sites, in fractional coordinates, are Y at (0.0000, 0.0000, 0.0000), Be at (0.0000, 0.0000, 0.5000) and As at (0.0000, 0.0000, 0.2200).

=====

# 3
YBe2As: optimized geometry, PBE.

The calculation puts the total energy at -4.217 eV/atom.

The space group is R-3m (No. 166, hexagonal axes) and the conventional cell measures 4.5800, 4.5800 and 13.8080 Å, with angles of 90.00, 90.00 and 120.00 degrees. The distinct sites, in fractional coordinates, are Y at (0.0000, 0.0000, 0.0000), Be at (0.0000, 0.0000, 0.3461) and As at (0.0000, 0.0000, 0.5000).

=====

| no. | energy of formation (eV/atom) |
| --- | --- |
| 1 | -0.74 |
| 2 | -0.38 |
| 3 | 0.42 |